DFT (PBE) results for crystalline MgTe2W at its relaxed geometry.

Unit cell a=7.4298 b=7.4298 c=7.4298 alpha=152.65 beta=150.64 gamma=40.56
With the nearest neighbours (Å) after each atom.
Fractional positions:
Te: 0.6962 0.1962 0.5000  2 W 2.75, 4 Mg 2.94
Te: 0.9613 0.9613 0.0000  4 W 2.82, 2 Mg 2.95
W: 0.5442 0.5442 0.0000  6 Te 2.75-2.82
Mg: 0.2983 0.7983 0.5000  6 Te 2.94-2.95

Values from the calculation:
Its volume is 92.2 Å³ per cell. The calculation puts the total energy at -4.99 eV/atom. The mass density comes out at 8.3 Mg/m³. As for the uncorrected formation energy: 0.220 eV/atom. For the total magnetization, the calculation gives 0.00 μB/atom.

=====

DFT (PBE) results for crystalline MgNi3Ge at its relaxed geometry.

Unit cell a=4.3313 b=4.3313 c=4.3313 alpha=90.00 beta=90.00 gamma=90.00
With the nearest neighbours (Å) after each atom.
Fractional positions:
Ni: 0.0000 0.5000 0.0000  2 Mg 2.17
Ni: 0.5000 0.0000 0.0000  2 Mg 2.17
Ni: 0.0000 0.0000 0.5000  2 Mg 2.17
Mg: 0.0000 0.0000 0.0000  6 Ni 2.17
Ge: 0.5000 0.5000 0.5000  12 Ni 3.06

Values from the calculation:
The calculation puts the formation energy at 1062 meV per atom. Its volume is 81.3 Å³ per cell. The calculation puts the total energy at -3.65 eV/atom. The mass density comes out at 5.6 Mg/m³. The value obtained for the polymorph energy (0 for the lowest one) is 1236.4 meV per atom. For the total magnetization, the calculation gives 0.00 μB/atom.

=====

DFT (PBE) results for crystalline Na2BiO4 at its relaxed geometry.

Unit cell a=6.7684 b=6.7684 c=6.7684 alpha=106.17 beta=106.17 gamma=116.30
With the nearest neighbours (Å) after each atom.
Fractional positions:
O: 0.0748 0.8712 0.7372  1 Bi 2.05
O: 0.6160 0.3788 0.7036  1 Bi 2.05
O: 0.1288 0.8660 0.2036  1 Bi 2.05
O: 0.6624 0.9252 0.7964  1 Bi 2.05
O: 0.1340 0.3376 0.2628  1 Bi 2.05
O: 0.0876 0.3840 0.7628  1 Bi 2.05
O: 0.6212 0.3248 0.2372  1 Bi 2.05
O: 0.6752 0.9124 0.2964  1 Bi 2.05
Na: 0.5611 0.6250 0.4361  4 O 2.32-2.37
Na: 0.8750 0.4389 0.0639  4 O 2.32-2.37
Na: 0.1889 0.1250 0.5639  4 O 2.32-2.37
Na: 0.3750 0.8111 0.9361  4 O 2.32-2.37
Bi: 0.7500 0.2500 0.5000  4 O 2.05
Bi: 0.0000 0.0000 0.0000  4 O 2.05

Values from the calculation:
Its volume is 236.1 Å³ per cell. The calculation puts the total energy at -4.61 eV/atom. The mass density comes out at 4.5 Mg/m³. As for the uncorrected formation energy: -0.850 eV/atom. For the total magnetization, the calculation gives 0.15 μB/atom.

=====

DFT (PBE) results for crystalline Sc3Ni2Ge4 at its relaxed geometry.

Unit cell a=4.0210 b=5.4975 c=7.7361 alpha=106.47 beta=90.00 gamma=111.45
With the nearest neighbours (Å) after each atom.
Fractional positions:
Ni: 0.6945 0.3891 0.3744  4 Ge 2.35-2.46
Ni: 0.3055 0.6109 0.6256  4 Ge 2.35-2.46
Ge: 0.9197 0.8394 0.6073  3 Ni 2.35-2.46
Ge: 0.2957 0.5913 0.9265  1 Ni 2.36, 2 Ge 2.62
Ge: 0.7043 0.4087 0.0735  1 Ni 2.36, 2 Ge 2.62
Ge: 0.0803 0.1606 0.3927  3 Ni 2.35-2.46
Sc: 0.6268 0.2537 0.6919  3 Ni 2.75-2.87, 7 Ge 2.81-2.99
Sc: 0.0000 0.0000 0.0000  6 Ge 2.83-2.90
Sc: 0.3732 0.7463 0.3081  3 Ni 2.75-2.87, 7 Ge 2.81-2.99

Values from the calculation:
The calculation puts the formation energy at -734 meV per atom. Its volume is 151.6 Å³ per cell. The calculation puts the total energy at -6.18 eV/atom. The mass density comes out at 5.9 Mg/m³. For the total magnetization, the calculation gives 0.00 μB/atom.